! SmGePbS3 PBE optimized geometry; values from VASP
! V = 296 Å³/cell
&SYSTEM
  ibrav = 0, nat = 12, ntyp = 4
/
ATOMIC_SPECIES
Ge 72.64 Ge.upf
Pb 207.20 Pb.upf
S 32.06 S.upf
Sm 150.36 Sm.upf
ATOMIC_POSITIONS crystal
Ge 0.4477 0.5523 0.2500
Ge 0.5523 0.4477 0.7500
Pb 0.7326 0.2674 0.2500
Pb 0.2674 0.7326 0.7500
S 0.3648 0.6352 0.0426
S 0.1090 0.8910 0.2500
S 0.3648 0.6352 0.4574
S 0.6352 0.3648 0.5426
S 0.8910 0.1090 0.7500
S 0.6352 0.3648 0.9574
Sm 0.0000 0.0000 0.0000
Sm 0.0000 0.0000 0.5000
CELL_PARAMETERS angstrom
2.0605 -7.4033 0.0000
2.0605 7.4033 0.0000
0.0000 0.0000 9.7017

---

! Cd2GeP4Pb PBE optimized geometry; values from VASP
! V = 202 Å³/cell
&SYSTEM
  ibrav = 0, nat = 8, ntyp = 4
/
ATOMIC_SPECIES
Cd 112.41 Cd.upf
Ge 72.64 Ge.upf
P 30.97 P.upf
Pb 207.20 Pb.upf
ATOMIC_POSITIONS crystal
Cd 0.5000 0.5000 0.0000
Cd 0.7500 0.2500 0.5000
Ge 0.0000 0.0000 0.0000
P 0.6559 0.1211 0.0090
P 0.3531 0.3441 0.4652
P 0.8789 0.8879 0.5348
P 0.1121 0.6469 0.9910
Pb 0.2500 0.7500 0.5000
CELL_PARAMETERS angstrom
-2.9611 2.9611 5.7641
2.9611 -2.9611 5.7641
2.9611 2.9611 -5.7641

---

! NiAs2 PBE optimized geometry; values from VASP
! V = 256 Å³/cell
&SYSTEM
  ibrav = 0, nat = 6, ntyp = 2
/
ATOMIC_SPECIES
As 74.92 As.upf
Ni 58.69 Ni.upf
ATOMIC_POSITIONS crystal
As 0.8750 0.3750 0.3750
As 0.3750 0.8750 0.3750
As 0.3750 0.3750 0.3750
As 0.3750 0.3750 0.8750
Ni 0.2500 0.2500 0.2500
Ni 0.5000 0.5000 0.5000
CELL_PARAMETERS angstrom
3.5657 2.0587 5.8228
-3.5657 2.0587 5.8228
0.0000 -4.1174 5.8228

---

Calculated total energy
In order: -5.042 -3.969 -4.218
Unit: eV per atom